BeCrO4: relaxed, GGA+U.

```
BeCrO4
1.0
-0.9161 -2.1003 -6.8179
-6.5463 -2.9156 0.6160
-3.3589 4.1180 -2.0923
Be Cr O
4 4 16
Cartesian
-9.2426 -1.1750 -7.1289
-3.9820 -0.2421 -6.0334
-6.8393 -0.6558 -2.2608
-1.5787 0.2771 -1.1653
-6.6397 -2.0220 -5.2505
-2.2365 -2.2915 -5.0744
-5.2258 -2.7244 -1.1275
-4.1815 1.1241 -3.0437
-7.9565 -1.6527 -6.2073
-6.3643 -3.6938 -5.2253
-6.7322 0.7366 -6.9625
-8.5897 0.4676 -4.5099
-6.9299 -1.4767 -3.7122
-5.3075 -1.2417 -5.8543
-8.0511 0.3688 -1.8601
-4.0416 0.9494 -7.1541
-2.7701 -1.2667 -6.4342
-6.7797 -1.8474 -1.1401
-3.8913 0.5787 -4.5820
-5.5137 0.3438 -2.4399
-2.2315 -1.3655 -3.7843
-4.0890 -1.6345 -1.3317
-4.4570 2.7959 -3.0690
-2.8647 0.7548 -2.0869
```

## Properties
Final energy: -6.73 eV per atom
Calculated density: 2.961 g cm⁻³
DOS at the Fermi energy: 0.000 states/eV per cell